# meta-GGA SCAN CaMg2Rh, PBEsol geometry
data_CaMg2Rh
_chemical_formula_sum 'Ca2 Mg4 Rh2'
_symmetry_space_group_name_H-M 'C 1 m 1'
_symmetry_Int_Tables_number 8
_cell_length_a 11.395
_cell_length_b 3.293
_cell_length_c 4.987
_cell_angle_alpha 90.00
_cell_angle_beta 115.10
_cell_angle_gamma 90.00
loop_
_symmetry_equiv_pos_as_xyz
'x,y,z'
'x,-y,z'
'x+1/2,y+1/2,z'
'x+1/2,-y+1/2,z'
loop_
_atom_site_label
_atom_site_type_symbol
_atom_site_fract_x
_atom_site_fract_y
_atom_site_fract_z
_atom_site_occupancy
Ca1 Ca 0.000 0.000 0.000 1
Mg1 Mg 0.201 0.000 0.696 1
Mg2 Mg 0.405 0.000 0.406 1
Rh1 Rh 0.215 0.500 0.203 1
# V = 169 Å³/cell
# Formation energy = -0.778 eV/f.u.
# Calculated density = 3.75 g/cm³
# Total magnetization = 0.026 μB/f.u.
# E_tot = -13.540 eV per atom
# Density of states at the Fermi level = 1.64 states/eV/f.u.

# meta-GGA SCAN Ca2MgRu, PBEsol geometry
data_Ca2MgRu
_chemical_formula_sum 'Ca2 Mg1 Ru1'
_symmetry_space_group_name_H-M 'P 4 m m'
_symmetry_Int_Tables_number 99
_cell_length_a 3.509
_cell_length_b 3.509
_cell_length_c 8.009
_cell_angle_alpha 90.00
_cell_angle_beta 90.00
_cell_angle_gamma 90.00
loop_
_symmetry_equiv_pos_as_xyz
'x,y,z'
'-y,x,z'
'-x,-y,z'
'y,-x,z'
'-x,y,z'
'y,x,z'
'x,-y,z'
'-y,-x,z'
loop_
_atom_site_label
_atom_site_type_symbol
_atom_site_fract_x
_atom_site_fract_y
_atom_site_fract_z
_atom_site_occupancy
Ca1 Ca 0.000 0.000 0.000 1
Ca2 Ca 0.500 0.500 0.392 1
Mg1 Mg 0.000 0.000 0.646 1
Ru1 Ru 0.500 0.500 0.769 1
# V = 99 Å³/cell
# Formation energy = 0.356 eV/f.u.
# Calculated density = 3.46 g/cm³
# Total magnetization = 0.000 μB/f.u.
# E_tot = -14.693 eV per atom
# Density of states at the Fermi level = 1.92 states/eV/f.u.

# meta-GGA SCAN CaMgRu2, PBEsol geometry
data_CaMgRu2
_chemical_formula_sum 'Ca1 Mg1 Ru2'
_symmetry_space_group_name_H-M 'P 4/m m m'
_symmetry_Int_Tables_number 123
_symmetry_space_group_name_Hall '-P 4 2'
_cell_length_a 3.979
_cell_length_b 3.979
_cell_length_c 4.270
_cell_angle_alpha 90.00
_cell_angle_beta 90.00
_cell_angle_gamma 90.00
loop_
_atom_site_label
_atom_site_type_symbol
_atom_site_fract_x
_atom_site_fract_y
_atom_site_fract_z
_atom_site_occupancy
Ca1 Ca 0.000 0.000 0.000 1
Mg1 Mg 0.500 0.500 0.000 1
Ru1 Ru 0.000 0.500 0.500 1
# V = 68 Å³/cell
# Formation energy = 1.536 eV/f.u.
# Calculated density = 6.55 g/cm³
# Total magnetization = 2.154 μB/f.u.
# E_tot = -20.688 eV per atom
# Density of states at the Fermi level = 2.50 states/eV/f.u.

# meta-GGA SCAN Ca2MgRu, PBEsol geometry
data_Ca2MgRu
_chemical_formula_sum 'Ca2 Mg1 Ru1'
_symmetry_space_group_name_H-M 'P 4/m m m'
_symmetry_Int_Tables_number 123
_symmetry_space_group_name_Hall '-P 4 2'
_cell_length_a 4.860
_cell_length_b 4.860
_cell_length_c 3.856
_cell_angle_alpha 90.00
_cell_angle_beta 90.00
_cell_angle_gamma 90.00
loop_
_atom_site_label
_atom_site_type_symbol
_atom_site_fract_x
_atom_site_fract_y
_atom_site_fract_z
_atom_site_occupancy
Ca1 Ca 0.000 0.500 0.000 1
Mg1 Mg 0.000 0.000 0.500 1
Ru1 Ru 0.500 0.500 0.500 1
# V = 91 Å³/cell
# Formation energy = 1.149 eV/f.u.
# Calculated density = 3.75 g/cm³
# Total magnetization = 0.000 μB/f.u.
# E_tot = -14.494 eV per atom
# Density of states at the Fermi level = 1.66 states/eV/f.u.

# meta-GGA SCAN CaMgRu2, PBEsol geometry
data_CaMgRu2
_chemical_formula_sum 'Ca2 Mg2 Ru4'
_symmetry_space_group_name_H-M 'C 1 m 1'
_symmetry_Int_Tables_number 8
_cell_length_a 10.727
_cell_length_b 2.936
_cell_length_c 4.834
_cell_angle_alpha 90.00
_cell_angle_beta 112.21
_cell_angle_gamma 90.00
loop_
_symmetry_equiv_pos_as_xyz
'x,y,z'
'x,-y,z'
'x+1/2,y+1/2,z'
'x+1/2,-y+1/2,z'
loop_
_atom_site_label
_atom_site_type_symbol
_atom_site_fract_x
_atom_site_fract_y
_atom_site_fract_z
_atom_site_occupancy
Ca1 Ca 0.000 0.000 0.000 1
Mg1 Mg 0.210 0.000 0.673 1
Ru1 Ru 0.265 0.500 0.224 1
Ru2 Ru 0.465 0.000 0.472 1
# V = 141 Å³/cell
# Formation energy = 0.893 eV/f.u.
# Calculated density = 6.28 g/cm³
# Total magnetization = 0.000 μB/f.u.
# E_tot = -20.849 eV per atom
# Density of states at the Fermi level = 3.42 states/eV/f.u.

# meta-GGA SCAN CaMg2Ru, PBEsol geometry
data_CaMg2Ru
_chemical_formula_sum 'Ca1 Mg2 Ru1'
_symmetry_space_group_name_H-M 'P m m m'
_symmetry_Int_Tables_number 47
_cell_length_a 4.215
_cell_length_b 4.247
_cell_length_c 4.451
_cell_angle_alpha 90.00
_cell_angle_beta 90.00
_cell_angle_gamma 90.00
loop_
_symmetry_equiv_pos_as_xyz
'x,y,z'
'-x,-y,-z'
'-x,-y,z'
'x,y,-z'
'x,-y,-z'
'-x,y,z'
'-x,y,-z'
'x,-y,z'
loop_
_atom_site_label
_atom_site_type_symbol
_atom_site_fract_x
_atom_site_fract_y
_atom_site_fract_z
_atom_site_occupancy
Ca1 Ca 0.000 0.000 0.000 1
Mg1 Mg 0.000 0.500 0.500 1
Mg2 Mg 0.500 0.000 0.500 1
Ru1 Ru 0.500 0.500 0.000 1
# V = 80 Å³/cell
# Formation energy = 0.846 eV/f.u.
# Calculated density = 3.95 g/cm³
# Total magnetization = 0.877 μB/f.u.
# E_tot = -13.398 eV per atom
# Density of states at the Fermi level = 1.88 states/eV/f.u.

# meta-GGA SCAN CaMgS3, PBEsol geometry
data_CaMgS3
_chemical_formula_sum 'Ca1 Mg1 S3'
_symmetry_space_group_name_H-M 'P m -3 m'
_symmetry_Int_Tables_number 221
_symmetry_space_group_name_Hall '-P 4 2 3'
_cell_length_a 4.765
_cell_length_b 4.765
_cell_length_c 4.765
_cell_angle_alpha 90.00
_cell_angle_beta 90.00
_cell_angle_gamma 90.00
loop_
_atom_site_label
_atom_site_type_symbol
_atom_site_fract_x
_atom_site_fract_y
_atom_site_fract_z
_atom_site_occupancy
Ca1 Ca 0.000 0.000 0.000 1
Mg1 Mg 0.500 0.500 0.500 1
S1 S 0.000 0.500 0.500 1
# V = 108 Å³/cell
# Calculated density = 2.46 g/cm³
# Total magnetization = 1.389 μB/f.u.
# Formation energy (no corrections) = -0.93 eV per atom
# E_tot = -9.634 eV per atom
# Density of states at the Fermi level = 3.99 states/eV/f.u.

# meta-GGA SCAN CaMg3S, PBEsol geometry
data_CaMg3S
_chemical_formula_sum 'Ca1 Mg3 S1'
_symmetry_space_group_name_H-M 'P m -3 m'
_symmetry_Int_Tables_number 221
_symmetry_space_group_name_Hall '-P 4 2 3'
_cell_length_a 5.055
_cell_length_b 5.055
_cell_length_c 5.055
_cell_angle_alpha 90.00
_cell_angle_beta 90.00
_cell_angle_gamma 90.00
loop_
_atom_site_label
_atom_site_type_symbol
_atom_site_fract_x
_atom_site_fract_y
_atom_site_fract_z
_atom_site_occupancy
Ca1 Ca 0.000 0.000 0.000 1
Mg1 Mg 0.000 0.500 0.500 1
S1 S 0.500 0.500 0.500 1
# V = 129 Å³/cell
# Calculated density = 1.86 g/cm³
# Total magnetization = 0.000 μB/f.u.
# Formation energy (no corrections) = -0.23 eV per atom
# E_tot = -7.077 eV per atom
# Density of states at the Fermi level = 2.37 states/eV/f.u.

# meta-GGA SCAN CaMg2SeS, PBEsol geometry
data_CaMg2SeS
_chemical_formula_sum 'Ca1 Mg2 Se1 S1'
_symmetry_space_group_name_H-M 'P 4/m m m'
_symmetry_Int_Tables_number 123
_symmetry_space_group_name_Hall '-P 4 2'
_cell_length_a 6.034
_cell_length_b 6.034
_cell_length_c 5.040
_cell_angle_alpha 90.00
_cell_angle_beta 90.00
_cell_angle_gamma 90.00
loop_
_atom_site_label
_atom_site_type_symbol
_atom_site_fract_x
_atom_site_fract_y
_atom_site_fract_z
_atom_site_occupancy
Ca1 Ca 0.000 0.000 0.000 1
Mg1 Mg 0.000 0.500 0.000 1
Se1 Se 0.000 0.000 0.500 1
S1 S 0.500 0.500 0.500 1
# V = 184 Å³/cell
# Calculated density = 1.81 g/cm³
# Total magnetization = 1.490 μB/f.u.
# Formation energy (no corrections) = 0.56 eV per atom
# E_tot = -9.306 eV per atom
# Density of states at the Fermi level = 3.78 states/eV/f.u.

# meta-GGA SCAN CaMgSb, PBEsol geometry
data_CaMgSb
_chemical_formula_sum 'Ca4 Mg4 Sb4'
_symmetry_space_group_name_H-M 'F -4 3 m'
_symmetry_Int_Tables_number 216
_symmetry_space_group_name_Hall 'F -4 2 3'
_cell_length_a 7.130
_cell_length_b 7.130
_cell_length_c 7.130
_cell_angle_alpha 90.00
_cell_angle_beta 90.00
_cell_angle_gamma 90.00
loop_
_atom_site_label
_atom_site_type_symbol
_atom_site_fract_x
_atom_site_fract_y
_atom_site_fract_z
_atom_site_occupancy
Ca1 Ca 0.000 0.000 0.000 1
Mg1 Mg 0.250 0.250 0.250 1
Sb1 Sb 0.250 0.250 0.750 1
# V = 362 Å³/cell
# Calculated density = 3.41 g/cm³
# Total magnetization = 0.000 μB/f.u.
# Formation energy (no corrections) = -0.24 eV per atom
# E_tot = -17.541 eV per atom
# Density of states at the Fermi level = 1.26 states/eV/f.u.

# meta-GGA SCAN CaMgSb, PBEsol geometry
data_CaMgSb
_chemical_formula_sum 'Ca1 Mg1 Sb1'
_symmetry_space_group_name_H-M 'P -6 m 2'
_symmetry_Int_Tables_number 187
_symmetry_space_group_name_Hall 'P -6 2'
_cell_length_a 4.7134
_cell_length_b 4.7134
_cell_length_c 4.2960
_cell_angle_alpha 90.00
_cell_angle_beta 90.00
_cell_angle_gamma 120.00
loop_
_atom_site_label
_atom_site_type_symbol
_atom_site_fract_x
_atom_site_fract_y
_atom_site_fract_z
_atom_site_occupancy
Ca1 Ca 0.0000 0.0000 0.0000 1
Mg1 Mg 0.3333 0.6667 0.5000 1
Sb1 Sb 0.6667 0.3333 0.5000 1
# V = 83 Å³/cell
# Calculated density = 3.74 g/cm³
# Total magnetization = 0.000 μB/f.u.
# Formation energy (no corrections) = -0.57 eV per atom
# E_tot = -17.871 eV per atom
# Density of states at the Fermi level = 1.19 states/eV/f.u.

# meta-GGA SCAN CaMg2Sb2, PBEsol geometry
data_CaMg2Sb2
_chemical_formula_sum 'Ca2 Mg4 Sb4'
_symmetry_space_group_name_H-M 'P 4/m b m'
_symmetry_Int_Tables_number 127
_symmetry_space_group_name_Hall '-P 4 2ab'
_cell_length_a 8.363
_cell_length_b 8.363
_cell_length_c 3.701
_cell_angle_alpha 90.00
_cell_angle_beta 90.00
_cell_angle_gamma 90.00
loop_
_atom_site_label
_atom_site_type_symbol
_atom_site_fract_x
_atom_site_fract_y
_atom_site_fract_z
_atom_site_occupancy
Ca1 Ca 0.000 0.000 0.000 1
Mg1 Mg 0.134 0.366 0.500 1
Sb1 Sb 0.163 0.663 0.000 1
# V = 259 Å³/cell
# Calculated density = 4.26 g/cm³
# Energy relative to the lowest polymorph listed for this composition = 376 meV/atom
# Total magnetization = 0.000 μB/f.u.
# Formation energy (no corrections) = -0.42 eV per atom
# E_tot = -19.243 eV per atom
# Density of states at the Fermi level = 2.02 states/eV/f.u.

# meta-GGA SCAN CaMg2Sb2, PBEsol geometry
data_CaMg2Sb2
_chemical_formula_sum 'Ca1 Mg2 Sb2'
_symmetry_space_group_name_H-M 'P -3 m 1'
_symmetry_Int_Tables_number 164
_symmetry_space_group_name_Hall '-P 3 2"'
_cell_length_a 4.6433
_cell_length_b 4.6433
_cell_length_c 7.4645
_cell_angle_alpha 90.00
_cell_angle_beta 90.00
_cell_angle_gamma 120.00
loop_
_atom_site_label
_atom_site_type_symbol
_atom_site_fract_x
_atom_site_fract_y
_atom_site_fract_z
_atom_site_occupancy
Ca1 Ca 0.0000 0.0000 0.0000 1
Mg1 Mg 0.3333 0.6667 0.6316 1
Sb1 Sb 0.3333 0.6667 0.2411 1
# V = 139 Å³/cell
# Calculated density = 3.96 g/cm³
# Energy relative to the lowest polymorph listed for this composition = 0 meV/atom
# Total magnetization = 0.000 μB/f.u.
# Formation energy (no corrections) = -0.79 eV per atom
# E_tot = -19.618 eV per atom

# meta-GGA SCAN Ca2MgSc, PBEsol geometry
data_Ca2MgSc
_chemical_formula_sum 'Ca2 Mg1 Sc1'
_symmetry_space_group_name_H-M 'P 4 m m'
_symmetry_Int_Tables_number 99
_cell_length_a 3.656
_cell_length_b 3.656
_cell_length_c 9.232
_cell_angle_alpha 90.00
_cell_angle_beta 90.00
_cell_angle_gamma 90.00
loop_
_symmetry_equiv_pos_as_xyz
'x,y,z'
'-y,x,z'
'-x,-y,z'
'y,-x,z'
'-x,y,z'
'y,x,z'
'x,-y,z'
'-y,-x,z'
loop_
_atom_site_label
_atom_site_type_symbol
_atom_site_fract_x
_atom_site_fract_y
_atom_site_fract_z
_atom_site_occupancy
Ca1 Ca 0.000 0.000 0.000 1
Ca2 Ca 0.500 0.500 0.321 1
Mg1 Mg 0.000 0.000 0.555 1
Sc1 Sc 0.500 0.500 0.735 1
# V = 123 Å³/cell
# Formation energy = 0.230 eV/f.u.
# Calculated density = 2.01 g/cm³
# Total magnetization = 0.837 μB/f.u.
# E_tot = -9.577 eV per atom
# Density of states at the Fermi level = 3.76 states/eV/f.u.